Record 1
## Ba2RuSe (PBE-GGA)

Data for crystalline Ba2RuSe at its relaxed geometry.

The space group is I-4m2 (No. 119) and the conventional cell measures 4.5616, 4.5616 and 12.1962 Å, with angles of 90.00, 90.00 and 90.00 degrees. Symmetry generates all atoms from Ba at (0.0000, 0.0000, 0.0000), Ba at (0.0000, 0.5000, 0.2500), Ru at (0.0000, 0.5000, 0.7500) and Se at (0.0000, 0.0000, 0.5000).

The volume comes out at 254 Å³ per cell. Its total magnetic moment is 0.43 μB/atom. Its crystal system is tetragonal. Its uncorrected formation energy is -0.47 eV per formula unit.



Record 2
## Pm2ErTm3 (PBE-GGA)

Data for crystalline Pm2ErTm3 at its relaxed geometry.

The space group is P-1 (No. 2) and the conventional cell measures 6.5947, 6.5957 and 8.9028 Å, with angles of 97.60, 97.69 and 95.34 degrees. Symmetry generates all atoms from Pm at (0.1249, 0.1256, 0.3749), Pm at (0.3745, 0.3753, 0.1252), Er at (0.4169, 0.0832, 0.7498), Tm at (0.0835, 0.4163, 0.7503), Tm at (0.1666, 0.8335, 0.9998) and Tm at (0.3330, 0.6662, 0.5000).

The volume comes out at 378 Å³ per cell. The calculation puts the calculated formation energy at 79 meV per atom. Its total magnetic moment is 0.00 μB/atom. Its crystal system is triclinic.



Record 3
## LaTeC2 (PBE-GGA)

Data for crystalline LaTeC2 at its relaxed geometry.

The space group is I-42d (No. 122) and the conventional cell measures 6.2756, 6.2756 and 7.4698 Å, with angles of 90.00, 90.00 and 90.00 degrees. Symmetry generates all atoms from La at (0.0000, 0.0000, 0.0000), Te at (0.0000, 0.0000, 0.5000) and C at (0.2008, 0.7500, 0.6250).

The volume comes out at 294 Å³ per cell. Its total magnetic moment is 0.00 μB/atom. Its crystal system is tetragonal. Its uncorrected formation energy is 3.84 eV per formula unit.



Record 4
## HfZrMnV (PBE-GGA)

Data for crystalline HfZrMnV at its relaxed geometry.

The space group is F-43m (No. 216) and the conventional cell measures 6.5158, 6.5158 and 6.5158 Å, with angles of 90.00, 90.00 and 90.00 degrees. Symmetry generates all atoms from Hf at (0.0000, 0.0000, 0.0000), Zr at (0.0000, 0.0000, 0.5000), Mn at (0.2500, 0.2500, 0.2500) and V at (0.2500, 0.2500, 0.7500).

The volume comes out at 277 Å³ per cell. The calculation puts the calculated formation energy at 61 meV per atom. Its total magnetic moment is 0.68 μB/atom. Its crystal system is cubic.



Record 5
## GaCo3Ru (PBE-GGA)

Data for crystalline GaCo3Ru at its relaxed geometry.

The space group is Pm-3m (No. 221) and the conventional cell measures 4.4539, 4.4539 and 4.4539 Å, with angles of 90.00, 90.00 and 90.00 degrees. Symmetry generates all atoms from Ga at (0.0000, 0.0000, 0.0000), Co at (0.0000, 0.5000, 0.5000) and Ru at (0.5000, 0.5000, 0.5000).

The volume comes out at 88 Å³ per cell. The calculation puts the calculated formation energy at 1354 meV per atom. Its total magnetic moment is 0.86 μB/atom. Its crystal system is cubic.



Record 6
## AcYPbO4 (PBE-GGA)

Data for crystalline AcYPbO4 at its relaxed geometry.

The space group is Imma (No. 74) and the conventional cell measures 6.8925, 7.8143 and 10.1357 Å, with angles of 90.00, 90.00 and 90.00 degrees. Symmetry generates all atoms from Ac at (0.0000, 0.0000, 0.0000), Y at (0.2500, 0.2500, 0.2500), Pb at (0.0000, 0.2500, 0.6276), O at (0.0000, 0.0553, 0.2401) and O at (0.2365, 0.2500, 0.0171).

The volume comes out at 546 Å³ per cell. Its total magnetic moment is 0.00 μB/atom. Its crystal system is orthorhombic. Its uncorrected formation energy is -18.72 eV per formula unit.



Record 7
## HoSc2AlAu4 (PBE-GGA)

Data for crystalline HoSc2AlAu4 at its relaxed geometry.

The space group is R-3m (No. 166, hexagonal axes) and the conventional cell measures 4.7426, 4.7426 and 24.4480 Å, with angles of 90.00, 90.00 and 120.00 degrees. Symmetry generates all atoms from Ho at (0.0000, 0.0000, 0.0000), Sc at (0.0000, 0.0000, 0.2434), Al at (0.0000, 0.0000, 0.5000), Au at (0.0000, 0.0000, 0.1239) and Au at (0.0000, 0.0000, 0.3891).

The volume comes out at 476 Å³ per cell. The calculation puts the calculated formation energy at -746 meV per atom. Its total magnetic moment is 0.00 μB/atom. Its crystal system is trigonal.



Record 8
## Tc5Rh3 (PBE-GGA)

Data for crystalline Tc5Rh3 at its relaxed geometry.

The space group is P6_3/mcm (No. 193) and the conventional cell measures 7.6721, 7.6721 and 4.7198 Å, with angles of 90.00, 90.00 and 120.00 degrees. Symmetry generates all atoms from Tc at (0.0000, 0.1980, 0.2500), Tc at (0.3333, 0.6667, 0.0000) and Rh at (0.0000, 0.4033, 0.7500).

The volume comes out at 241 Å³ per cell. The calculation puts the calculated formation energy at 173 meV per atom. Its total magnetic moment is 0.00 μB/atom. Its crystal system is hexagonal.



Record 9
## AcPrNi4 (PBE-GGA)

Data for crystalline AcPrNi4 at its relaxed geometry.

The space group is F-43m (No. 216) and the conventional cell measures 7.4645, 7.4645 and 7.4645 Å, with angles of 90.00, 90.00 and 90.00 degrees. Symmetry generates all atoms from Ac at (0.0000, 0.0000, 0.0000), Pr at (0.2500, 0.2500, 0.7500) and Ni at (0.1248, 0.1248, 0.3752).

The volume comes out at 416 Å³ per cell. The calculation puts the calculated formation energy at -218 meV per atom. Its total magnetic moment is 0.00 μB/atom. Its crystal system is cubic.



Record 10
## In2Hg2Au (PBE-GGA)

Data for crystalline In2Hg2Au at its relaxed geometry.

The space group is I4/mmm (No. 139) and the conventional cell measures 4.1753, 4.1753 and 15.3222 Å, with angles of 90.00, 90.00 and 90.00 degrees. Symmetry generates all atoms from In at (0.0000, 0.5000, 0.2500), Hg at (0.0000, 0.0000, 0.0913) and Au at (0.0000, 0.0000, 0.5000).

The volume comes out at 267 Å³ per cell. The calculation puts the calculated formation energy at 230 meV per atom. Its total magnetic moment is 0.00 μB/atom. Its crystal system is tetragonal.



Record 11
## ZrSiBr4 (PBE-GGA)

Data for crystalline ZrSiBr4 at its relaxed geometry.

The space group is F-43m (No. 216) and the conventional cell measures 8.5737, 8.5737 and 8.5737 Å, with angles of 90.00, 90.00 and 90.00 degrees. Symmetry generates all atoms from Zr at (0.0000, 0.0000, 0.0000), Si at (0.2500, 0.2500, 0.2500) and Br at (0.1257, 0.1257, 0.6257).

The volume comes out at 630 Å³ per cell. Its total magnetic moment is 0.29 μB/atom. Its crystal system is cubic. Its uncorrected formation energy is 5.24 eV per formula unit.



Record 12
## LaBe2V (PBE-GGA)

Data for crystalline LaBe2V at its relaxed geometry.

The space group is I4_1/amd (No. 141, origin choice 2) and the conventional cell measures 4.3196, 4.3196 and 17.0257 Å, with angles of 90.00, 90.00 and 90.00 degrees. Symmetry generates all atoms from La at (0.0000, 0.2500, 0.3750), Be at (0.0000, 0.0000, 0.0000) and V at (0.0000, 0.2500, 0.8750).

The volume comes out at 318 Å³ per cell. The calculation puts the calculated formation energy at 552 meV per atom. Its total magnetic moment is 0.76 μB/atom. Its crystal system is tetragonal.



Record 13
## FeTcBr2 (PBE-GGA)

Data for crystalline FeTcBr2 at its relaxed geometry.

The space group is P2/m (No. 10) and the conventional cell measures 3.2908, 4.2734 and 5.6752 Å, with angles of 90.00, 97.74 and 90.00 degrees. Symmetry generates all atoms from Fe at (0.0000, 0.0000, 0.0000), Tc at (0.5000, 0.0000, 0.5000) and Br at (0.2711, 0.5000, 0.2505).

The volume comes out at 79 Å³ per cell. Its total magnetic moment is 1.33 μB/atom. Its crystal system is monoclinic. Its uncorrected formation energy is 3.41 eV per formula unit.



Number 1: raw total energy -4.27 eV per atom. Number 2: raw total energy -4.50 eV per atom. Number 3: raw total energy -5.67 eV per atom. Number 4: raw total energy -9.14 eV per atom. Number 5: raw total energy -5.37 eV per atom. Number 6: raw total energy -7.55 eV per atom. Number 7: raw total energy -5.01 eV per atom. Number 8: raw total energy -9.06 eV per atom. Number 9: raw total energy -5.55 eV per atom. Number 10: raw total energy -1.64 eV per atom. Number 11: raw total energy -2.57 eV per atom. Number 12: raw total energy -4.82 eV per atom. Number 13: raw total energy -4.69 eV per atom.